1.
Entry from the Alexandria database: a relaxed Ac4Pd3Pt crystal (PBE).

Structure (POSCAR):
```
Ac4Pd3Pt
1.0
4.145 0.000 0.000
0.000 4.716 0.000
0.000 0.000 11.621
Ac Pd Pt
4 3 1
Direct
0.000 0.000 0.000
0.000 0.500 0.266
0.500 0.000 0.494
0.500 0.500 0.766
0.000 0.000 0.718
0.000 0.500 0.546
0.500 0.500 0.042
0.500 0.000 0.222
```

Calculated values
The calculation puts the volume at 227.18 Å³/cell. For the total magnetization, the calculation gives 0.0 μB/f.u.

2.
Entry from the Alexandria database: a relaxed Ac3PdPt2 crystal (PBE).

Structure (POSCAR):
```
Ac3PdPt2
1.0
-2.198 2.198 9.337
2.198 -2.198 9.337
2.198 2.198 -9.337
Ac Pd Pt
3 1 2
Direct
0.000 0.000 0.000
0.332 0.332 0.000
0.668 0.668 0.000
0.500 0.500 0.000
0.166 0.166 0.000
0.834 0.834 0.000
```

Calculated values
The calculation puts the volume at 180.40 Å³/cell. For the total magnetization, the calculation gives 0.0 μB/f.u.

3.
Entry from the Alexandria database: a relaxed Ac7PdPt5 crystal (PBE).

Structure (POSCAR):
```
Ac7PdPt5
1.0
7.285 -2.180 0.000
7.285 2.180 0.000
-0.002 0.000 26.033
Ac Pd Pt
14 2 10
Direct
0.056 0.056 0.250
0.135 0.135 0.537
0.135 0.135 0.963
0.320 0.320 0.175
0.320 0.320 0.325
0.409 0.409 0.607
0.409 0.409 0.893
0.591 0.591 0.107
0.591 0.591 0.393
0.680 0.680 0.675
0.680 0.680 0.825
0.865 0.865 0.037
0.865 0.865 0.463
0.944 0.944 0.750
0.290 0.290 0.750
0.710 0.710 0.250
0.042 0.042 0.647
0.042 0.042 0.853
0.227 0.227 0.073
0.227 0.227 0.427
0.500 0.500 0.000
0.500 0.500 0.500
0.773 0.773 0.573
0.773 0.773 0.927
0.958 0.958 0.147
0.958 0.958 0.353
```

Calculated values
The calculation puts the volume at 826.98 Å³/cell. For the total magnetization, the calculation gives 0.0 μB/f.u.

4.
Entry from the Alexandria database: a relaxed Ac2PdPt2 crystal (PBE).

Structure (POSCAR):
```
Ac2PdPt2
1.0
5.835 -2.178 0.000
5.835 2.178 0.000
-5.729 0.000 10.234
Ac Pd Pt
4 2 4
Direct
0.088 0.088 0.398
0.309 0.309 0.857
0.691 0.691 0.143
0.912 0.912 0.602
0.410 0.410 0.189
0.590 0.590 0.811
0.045 0.045 0.916
0.351 0.351 0.392
0.649 0.649 0.608
0.955 0.955 0.084
```

Calculated values
The calculation puts the volume at 260.14 Å³/cell. For the total magnetization, the calculation gives 0.0 μB/f.u.

5.
Entry from the Alexandria database: a relaxed AcPdPt crystal (PBE).

Structure (POSCAR):
```
AcPdPt
1.0
2.214 -5.196 0.000
2.214 5.196 0.000
0.000 0.000 5.942
Ac Pd Pt
2 2 2
Direct
0.182 0.818 0.750
0.818 0.182 0.250
0.102 0.898 0.250
0.898 0.102 0.750
0.500 0.500 0.000
0.500 0.500 0.500
```

Calculated values
The calculation puts the volume at 136.73 Å³/cell. For the total magnetization, the calculation gives 0.0 μB/f.u.

6.
Entry from the Alexandria database: a relaxed Ac8Pd3Pt2 crystal (PBE).

Structure (POSCAR):
```
Ac8Pd3Pt2
1.0
7.949 -4.263 0.000
7.949 4.263 0.000
-2.249 0.000 7.043
Ac Pd Pt
8 3 2
Direct
0.113 0.113 0.390
0.132 0.623 0.090
0.377 0.868 0.910
0.381 0.381 0.577
0.619 0.619 0.423
0.623 0.132 0.090
0.868 0.377 0.910
0.887 0.887 0.610
0.245 0.755 0.500
0.500 0.500 0.000
0.755 0.245 0.500
0.247 0.247 0.165
0.753 0.753 0.835
```

Calculated values
The calculation puts the volume at 477.28 Å³/cell. For the total magnetization, the calculation gives 0.0 μB/f.u.

| no. | ΔE_f (eV per atom) |
| --- | --- |
| 1 | -0.903 |
| 2 | -1.052 |
| 3 | -1.055 |
| 4 | -1.009 |
| 5 | -0.897 |
| 6 | -0.672 |